1.
NbBrOF2: single point on PBEsol structure, meta-GGA SCAN.

Computed properties:
Total magnetic moment in μB/f.u.: 3.3
Raw total energy in eV/atom: -12.987
Formation energy from raw total energies in eV/atom: 0.193

a = 4.8076 Å, b = 4.8076 Å, c = 3.6453 Å
α = 90.00°, β = 90.00°, γ = 90.00°
Last column: nearest neighbours and their distance in Å.
Space group P4/mmm (No. 123)
One atom of each set of equivalent atoms:
Nb 0.0000 0.0000 0.0000 x1  8 F 3.02
Br 0.5000 0.5000 0.5000 x1  2 O 1.82
O 0.5000 0.5000 0.0000 x1  2 Br 1.82
F 0.0000 0.5000 0.5000 x2  2 Br 2.40


2.
Cd2AgSbMo: single point on PBEsol structure, meta-GGA SCAN.

Computed properties:
Total magnetic moment in μB/f.u.: 5.1
Raw total energy in eV/atom: -31.650
Formation energy from raw total energies in eV/atom: 1.218

a = 5.4522 Å, b = 5.4522 Å, c = 5.0277 Å
α = 90.00°, β = 90.00°, γ = 90.00°
Last column: nearest neighbours and their distance in Å.
Space group P4/mmm (No. 123)
One atom of each set of equivalent atoms:
Cd 0.0000 0.5000 0.0000 x2  2 Sb 2.73
Ag 0.0000 0.0000 0.5000 x1  2 Sb 2.51
Sb 0.0000 0.0000 0.0000 x1  2 Ag 2.51, 4 Cd 2.73
Mo 0.5000 0.5000 0.5000 x1  8 Cd 3.71, 4 Ag 3.86


- Among the records above, which one has the lowest raw total energy?
  Cd2AgSbMo